No. 1
Computed, not measured: LiNiP2O7 after structural relaxation at the GGA-PBEsol level of DFT.

```
data_LiNiP2O7
_cell_length_a 6.170
_cell_length_b 9.106
_cell_length_c 10.319
_cell_angle_alpha 63.83
_cell_angle_beta 81.11
_cell_angle_gamma 73.28
_space_group_name_H-M_alt 'P 1'
_space_group_IT_number 1
_space_group_name_Hall 'P 1'
loop_
_atom_site_label
_atom_site_fract_x
_atom_site_fract_y
_atom_site_fract_z
Li1 0.000 0.000 0.000
Li2 0.197 0.509 0.547
Li3 0.459 0.996 0.043
Li4 0.699 0.018 0.507
Ni1 0.525 0.369 0.750
Ni2 0.614 0.730 0.762
Ni3 0.845 0.273 0.277
Ni4 0.932 0.629 0.294
P1 0.105 0.901 0.313
P2 0.134 0.637 0.812
P3 0.323 0.364 0.230
P4 0.349 0.099 0.729
P5 0.524 0.734 0.470
P6 0.648 0.331 0.000
P7 0.810 0.670 0.042
P8 0.930 0.265 0.572
O1 0.041 0.593 0.976
O2 0.069 0.720 0.380
O3 0.162 0.124 0.622
O4 0.162 0.251 0.268
O5 0.190 0.958 0.159
O6 0.222 0.536 0.235
O7 0.233 0.466 0.804
O8 0.267 0.038 0.883
O9 0.293 0.877 0.419
O10 0.297 0.749 0.773
O11 0.382 0.281 0.665
O12 0.419 0.409 0.066
O13 0.474 0.562 0.552
O14 0.535 0.260 0.319
O15 0.559 0.982 0.696
O16 0.613 0.690 0.957
O17 0.628 0.175 0.988
O18 0.634 0.785 0.562
O19 0.654 0.756 0.326
O20 0.663 0.464 0.838
O21 0.795 0.535 0.204
O22 0.801 0.240 0.717
O23 0.822 0.218 0.477
O24 0.826 0.826 0.055
O25 0.847 0.310 0.083
O26 0.896 0.022 0.343
O27 0.923 0.739 0.722
O28 0.975 0.440 0.494
```

Computed properties:
excess energy over the best structure of this formula in the dataset = 0 meV/atom
E_tot = -6.999 eV per atom
Fermi-level density of states = 4.65 states/eV/cell
E_form (uncorrected) = -20.54 eV per formula unit



No. 2
Computed, not measured: CsCSe2Br after structural relaxation at the GGA-PBEsol level of DFT.

```
data_CsCSe2Br
_cell_length_a 4.457
_cell_length_b 4.457
_cell_length_c 6.388
_cell_angle_alpha 90.00
_cell_angle_beta 90.00
_cell_angle_gamma 90.00
_space_group_name_H-M_alt 'P 4/m m m'
_space_group_IT_number 123
_space_group_name_Hall '-P 4 2'
loop_
_atom_site_label
_atom_site_fract_x
_atom_site_fract_y
_atom_site_fract_z
Cs1 0.000 0.000 0.000
C1 0.500 0.500 0.500
Se1 0.000 0.500 0.500
Br1 0.500 0.500 0.000
```

Computed properties:
E_tot = -3.553 eV per atom
Fermi-level density of states = 4.19 states/eV/cell
E_form (uncorrected) = 2.39 eV per formula unit



No. 3
Computed, not measured: MnCdPt2 after structural relaxation at the GGA-PBEsol level of DFT.

```
data_MnCdPt2
_cell_length_a 2.918
_cell_length_b 3.586
_cell_length_c 5.927
_cell_angle_alpha 90.00
_cell_angle_beta 90.00
_cell_angle_gamma 90.00
_space_group_name_H-M_alt 'P m m m'
_space_group_IT_number 47
_space_group_name_Hall '-P 2 2'
loop_
_atom_site_label
_atom_site_fract_x
_atom_site_fract_y
_atom_site_fract_z
Mn1 0.000 0.000 0.000
Cd1 0.000 0.000 0.500
Pt1 0.500 0.500 0.233
```

Computed properties:
energy of formation = -26 kJ per mole of atoms
E_tot = -6.495 eV per atom
Fermi-level density of states = 1.19 states/eV/cell



No. 4
Computed, not measured: NpAl3Pd2 after structural relaxation at the GGA-PBEsol level of DFT.

```
data_NpAl3Pd2
_cell_length_a 5.3460
_cell_length_b 5.3460
_cell_length_c 4.1541
_cell_angle_alpha 90.00
_cell_angle_beta 90.00
_cell_angle_gamma 120.00
_space_group_name_H-M_alt 'P 6/m m m'
_space_group_IT_number 191
_space_group_name_Hall '-P 6 2'
loop_
_atom_site_label
_atom_site_fract_x
_atom_site_fract_y
_atom_site_fract_z
Np1 0.0000 0.0000 0.0000
Al1 0.0000 0.5000 0.5000
Pd1 0.3333 0.6667 0.0000
```

Computed properties:
energy of formation = -44 kJ per mole of atoms
E_tot = -6.796 eV per atom
Fermi-level density of states = 11.53 states/eV/cell